Material: CdP2SN
Method: DFT, PBE
State: optimized geometry

Cell: 5.0832 5.0832 5.0368 Å, 90.00 90.00 90.00°
Element x y z (fractional)
1 N 0.5000 0.5000 0.5000
2 S 0.0000 0.0000 0.5000
3 P 0.0000 0.5000 0.0000
4 P 0.5000 0.0000 0.0000
5 Cd 0.0000 0.0000 0.0000

space group: P4/mmm, No. 123
E above lowest polymorph: 1.2029 eV/atom
DOS at the Fermi energy: 4.9 states/eV/cell
density: 2.81 Mg/m³
ΔE_f (raw): 2.16 eV/atom